## 1
An optimized crystal structure of Ga3PdSe, computed with PBE.

Computed properties:
Space-group type: Pm-3m (221)

a = 4.982 Å, b = 4.982 Å, c = 4.982 Å
α = 90.00°, β = 90.00°, γ = 90.00°
Sites, in units of the cell vectors:
Ga (0.000, 0.000, 0.500)
Ga (0.000, 0.500, 0.000)
Ga (0.500, 0.000, 0.000)
Pd (0.500, 0.500, 0.500)
Se (0.000, 0.000, 0.000)


## 2
An optimized crystal structure of Ga3PdSe, computed with PBE.

Computed properties:
Space-group type: Pm-3m (221)

a = 4.851 Å, b = 4.851 Å, c = 4.851 Å
α = 90.00°, β = 90.00°, γ = 90.00°
Sites, in units of the cell vectors:
Ga (0.000, 0.000, 0.500)
Ga (0.000, 0.500, 0.000)
Ga (0.500, 0.000, 0.000)
Pd (0.000, 0.000, 0.000)
Se (0.500, 0.500, 0.500)


Relative to the most stable one, in meV per atom, the structures come out at 1 791; 2 0.


## 1
An optimized crystal structure of GaPd2Se2, computed with PBE.

Computed properties:
Space-group type: P4/mbm (127)

a = 7.218 Å, b = 7.218 Å, c = 3.520 Å
α = 90.00°, β = 90.00°, γ = 90.00°
Sites, in units of the cell vectors:
Ga (0.000, 0.000, 0.000)
Ga (0.500, 0.500, 0.000)
Pd (0.146, 0.354, 0.000)
Pd (0.354, 0.854, 0.000)
Pd (0.646, 0.146, 0.000)
Pd (0.854, 0.646, 0.000)
Se (0.161, 0.661, 0.500)
Se (0.339, 0.161, 0.500)
Se (0.661, 0.839, 0.500)
Se (0.839, 0.339, 0.500)


## 2
An optimized crystal structure of GaPd2Se2, computed with PBE.

Computed properties:
Space-group type: I4/mmm (139)

a = 5.085 Å, b = 5.085 Å, c = 7.917 Å
α = 90.00°, β = 90.00°, γ = 90.00°
Sites, in units of the cell vectors:
Ga (0.000, 0.000, 0.000)
Ga (0.500, 0.500, 0.500)
Pd (0.000, 0.000, 0.317)
Pd (0.000, 0.000, 0.683)
Pd (0.500, 0.500, 0.183)
Pd (0.500, 0.500, 0.817)
Se (0.000, 0.500, 0.250)
Se (0.000, 0.500, 0.750)
Se (0.500, 0.000, 0.250)
Se (0.500, 0.000, 0.750)


Relative to the most stable one, in meV per atom, the structures come out at 1 56; 2 0.


## 1
An optimized crystal structure of GaSi2Pd, computed with PBE.

Computed properties:
Space-group type: I-42d (122)

a = 4.131 Å, b = 4.131 Å, c = 15.956 Å
α = 90.00°, β = 90.00°, γ = 90.00°
Sites, in units of the cell vectors:
Ga (0.000, 0.000, 0.000)
Ga (0.000, 0.500, 0.250)
Ga (0.500, 0.000, 0.750)
Ga (0.500, 0.500, 0.500)
Si (0.205, 0.250, 0.625)
Si (0.250, 0.705, 0.875)
Si (0.250, 0.795, 0.375)
Si (0.295, 0.250, 0.125)
Si (0.705, 0.750, 0.125)
Si (0.750, 0.205, 0.375)
Si (0.750, 0.295, 0.875)
Si (0.795, 0.750, 0.625)
Pd (0.000, 0.000, 0.500)
Pd (0.000, 0.500, 0.750)
Pd (0.500, 0.000, 0.250)
Pd (0.500, 0.500, 0.000)


## 2
An optimized crystal structure of GaSi2Pd, computed with PBE.

Computed properties:
Space-group type: Fm-3m (225)

a = 6.320 Å, b = 6.320 Å, c = 6.320 Å
α = 90.00°, β = 90.00°, γ = 90.00°
Sites, in units of the cell vectors:
Ga (0.000, 0.000, 0.000)
Ga (0.000, 0.500, 0.500)
Ga (0.500, 0.000, 0.500)
Ga (0.500, 0.500, 0.000)
Si (0.250, 0.250, 0.250)
Si (0.250, 0.250, 0.750)
Si (0.250, 0.750, 0.250)
Si (0.250, 0.750, 0.750)
Si (0.750, 0.250, 0.250)
Si (0.750, 0.250, 0.750)
Si (0.750, 0.750, 0.250)
Si (0.750, 0.750, 0.750)
Pd (0.000, 0.000, 0.500)
Pd (0.000, 0.500, 0.000)
Pd (0.500, 0.000, 0.000)
Pd (0.500, 0.500, 0.500)


Relative to the most stable one, in meV per atom, the structures come out at 1 0; 2 137.


## 1
An optimized crystal structure of Ga2SiPd4, computed with PBE.

Computed properties:
Space-group type: I4/mmm (139)

a = 4.490 Å, b = 4.490 Å, c = 12.877 Å
α = 90.00°, β = 90.00°, γ = 90.00°
Sites, in units of the cell vectors:
Ga (0.000, 0.000, 0.128)
Ga (0.000, 0.000, 0.872)
Ga (0.500, 0.500, 0.372)
Ga (0.500, 0.500, 0.628)
Si (0.000, 0.000, 0.500)
Si (0.500, 0.500, 0.000)
Pd (0.000, 0.000, 0.318)
Pd (0.000, 0.000, 0.682)
Pd (0.000, 0.500, 0.000)
Pd (0.000, 0.500, 0.500)
Pd (0.500, 0.000, 0.000)
Pd (0.500, 0.000, 0.500)
Pd (0.500, 0.500, 0.182)
Pd (0.500, 0.500, 0.818)


## 2
An optimized crystal structure of Ga2SiPd4, computed with PBE.

Computed properties:
Space-group type: Cmmm (65)

a = 7.115 Å, b = 7.671 Å, c = 4.020 Å
α = 90.00°, β = 90.00°, γ = 90.00°
Sites, in units of the cell vectors:
Ga (0.000, 0.191, 0.000)
Ga (0.000, 0.809, 0.000)
Ga (0.500, 0.309, 0.000)
Ga (0.500, 0.691, 0.000)
Si (0.000, 0.500, 0.500)
Si (0.500, 0.000, 0.500)
Pd (0.203, 0.500, 0.000)
Pd (0.250, 0.250, 0.500)
Pd (0.250, 0.750, 0.500)
Pd (0.297, 0.000, 0.000)
Pd (0.703, 0.000, 0.000)
Pd (0.750, 0.250, 0.500)
Pd (0.750, 0.750, 0.500)
Pd (0.797, 0.500, 0.000)


Relative to the most stable one, in meV per atom, the structures come out at 1 461; 2 0.


## 1
An optimized crystal structure of Ga2SiPd8, computed with PBE.

Computed properties:
Space-group type: Immm (71)

a = 7.006 Å, b = 7.006 Å, c = 7.006 Å
α = 145.65°, β = 118.68°, γ = 72.21°
Sites, in units of the cell vectors:
Ga (0.192, 0.192, 0.000)
Ga (0.808, 0.808, 0.000)
Si (0.500, 0.500, 0.000)
Pd (0.072, 0.343, 0.729)
Pd (0.186, 0.000, 0.186)
Pd (0.366, 0.866, 0.500)
Pd (0.386, 0.657, 0.729)
Pd (0.614, 0.343, 0.271)
Pd (0.634, 0.134, 0.500)
Pd (0.814, 0.000, 0.814)
Pd (0.928, 0.657, 0.271)


## 2
An optimized crystal structure of Ga2SiPd8, computed with PBE.

Computed properties:
Space-group type: C2/m (12)

a = 8.004 Å, b = 8.004 Å, c = 5.526 Å
α = 105.42°, β = 105.42°, γ = 29.64°
Sites, in units of the cell vectors:
Ga (0.182, 0.182, 0.225)
Ga (0.818, 0.818, 0.775)
Si (0.500, 0.500, 0.500)
Pd (0.022, 0.022, 0.266)
Pd (0.214, 0.214, 0.805)
Pd (0.349, 0.349, 0.531)
Pd (0.401, 0.401, 0.066)
Pd (0.599, 0.599, 0.934)
Pd (0.651, 0.651, 0.469)
Pd (0.786, 0.786, 0.195)
Pd (0.978, 0.978, 0.734)


Relative to the most stable one, in meV per atom, the structures come out at 1 46; 2 0.


## 1
An optimized crystal structure of GaSiPd3, computed with PBE.

Computed properties:
Space-group type: Amm2 (38)

a = 2.904 Å, b = 7.987 Å, c = 7.987 Å
α = 59.81°, β = 90.00°, γ = 90.00°
Sites, in units of the cell vectors:
Ga (0.000, 0.000, 0.000)
Ga (0.500, 0.500, 0.500)
Si (0.000, 0.000, 0.499)
Si (0.000, 0.499, 0.000)
Pd (0.000, 0.344, 0.344)
Pd (0.000, 0.656, 0.656)
Pd (0.500, 0.084, 0.697)
Pd (0.500, 0.302, 0.915)
Pd (0.500, 0.697, 0.084)
Pd (0.500, 0.915, 0.302)


## 2
An optimized crystal structure of GaSiPd3, computed with PBE.

Computed properties:
Space-group type: Pm-3m (221)

a = 4.607 Å, b = 4.607 Å, c = 4.607 Å
α = 90.00°, β = 90.00°, γ = 90.00°
Sites, in units of the cell vectors:
Ga (0.000, 0.000, 0.000)
Si (0.500, 0.500, 0.500)
Pd (0.000, 0.000, 0.500)
Pd (0.000, 0.500, 0.000)
Pd (0.500, 0.000, 0.000)


## 3
An optimized crystal structure of GaSiPd3, computed with PBE.

Computed properties:
Space-group type: Pm-3m (221)

a = 4.519 Å, b = 4.519 Å, c = 4.519 Å
α = 90.00°, β = 90.00°, γ = 90.00°
Sites, in units of the cell vectors:
Ga (0.000, 0.000, 0.000)
Si (0.500, 0.500, 0.500)
Pd (0.000, 0.500, 0.500)
Pd (0.500, 0.000, 0.500)
Pd (0.500, 0.500, 0.000)


Relative to the most stable one, in meV per atom, the structures come out at 1 0; 2 903; 3 464.


## 1
An optimized crystal structure of GaSi2Pd2, computed with PBE.

Computed properties:
Space-group type: P4/mbm (127)

a = 7.549 Å, b = 7.549 Å, c = 2.752 Å
α = 90.00°, β = 90.00°, γ = 90.00°
Sites, in units of the cell vectors:
Ga (0.000, 0.000, 0.000)
Ga (0.500, 0.500, 0.000)
Si (0.156, 0.344, 0.500)
Si (0.344, 0.844, 0.500)
Si (0.656, 0.156, 0.500)
Si (0.844, 0.656, 0.500)
Pd (0.138, 0.638, 0.000)
Pd (0.362, 0.138, 0.000)
Pd (0.638, 0.862, 0.000)
Pd (0.862, 0.362, 0.000)


## 2
An optimized crystal structure of GaSi2Pd2, computed with PBE.

Computed properties:
Space-group type: I4/mmm (139)

a = 3.626 Å, b = 3.626 Å, c = 12.380 Å
α = 90.00°, β = 90.00°, γ = 90.00°
Sites, in units of the cell vectors:
Ga (0.000, 0.000, 0.000)
Ga (0.500, 0.500, 0.500)
Si (0.000, 0.500, 0.250)
Si (0.000, 0.500, 0.750)
Si (0.500, 0.000, 0.250)
Si (0.500, 0.000, 0.750)
Pd (0.000, 0.000, 0.386)
Pd (0.000, 0.000, 0.614)
Pd (0.500, 0.500, 0.114)
Pd (0.500, 0.500, 0.886)


Relative to the most stable one, in meV per atom, the structures come out at 1 22; 2 0.


## 1
An optimized crystal structure of SmGa3Pd3, computed with PBE.

Computed properties:
Space-group type: P2_1/m (11)

a = 6.773 Å, b = 4.278 Å, c = 9.364 Å
α = 90.00°, β = 109.88°, γ = 90.00°
Sites, in units of the cell vectors:
Sm (0.101, 0.250, 0.234)
Sm (0.899, 0.750, 0.766)
Ga (0.261, 0.750, 0.512)
Ga (0.277, 0.250, 0.911)
Ga (0.479, 0.750, 0.340)
Ga (0.521, 0.250, 0.660)
Ga (0.723, 0.750, 0.089)
Ga (0.739, 0.250, 0.488)
Pd (0.129, 0.250, 0.614)
Pd (0.291, 0.750, 0.056)
Pd (0.423, 0.750, 0.798)
Pd (0.577, 0.250, 0.202)
Pd (0.709, 0.250, 0.944)
Pd (0.871, 0.750, 0.386)


## 2
An optimized crystal structure of SmGa3Pd3, computed with PBE.

Computed properties:
Space-group type: Pm-3n (223)

a = 6.792 Å, b = 6.792 Å, c = 6.792 Å
α = 90.00°, β = 90.00°, γ = 90.00°
Sites, in units of the cell vectors:
Sm (0.000, 0.000, 0.000)
Sm (0.500, 0.500, 0.500)
Ga (0.000, 0.250, 0.500)
Ga (0.000, 0.750, 0.500)
Ga (0.250, 0.500, 0.000)
Ga (0.500, 0.000, 0.250)
Ga (0.500, 0.000, 0.750)
Ga (0.750, 0.500, 0.000)
Pd (0.000, 0.500, 0.250)
Pd (0.000, 0.500, 0.750)
Pd (0.250, 0.000, 0.500)
Pd (0.500, 0.250, 0.000)
Pd (0.500, 0.750, 0.000)
Pd (0.750, 0.000, 0.500)


## 3
An optimized crystal structure of SmGa3Pd3, computed with PBE.

Computed properties:
Space-group type: R-3 (148)

a = 7.366 Å, b = 7.366 Å, c = 7.366 Å
α = 56.04°, β = 56.04°, γ = 56.04°
Sites, in units of the cell vectors:
Sm (0.161, 0.161, 0.161)
Sm (0.839, 0.839, 0.839)
Ga (0.038, 0.234, 0.601)
Ga (0.234, 0.601, 0.038)
Ga (0.399, 0.962, 0.766)
Ga (0.601, 0.038, 0.234)
Ga (0.766, 0.399, 0.962)
Ga (0.962, 0.766, 0.399)
Pd (0.193, 0.422, 0.672)
Pd (0.328, 0.807, 0.578)
Pd (0.422, 0.672, 0.193)
Pd (0.578, 0.328, 0.807)
Pd (0.672, 0.193, 0.422)
Pd (0.807, 0.578, 0.328)


Relative to the most stable one, in meV per atom, the structures come out at 1 0; 2 381; 3 74.


## 1
An optimized crystal structure of SmGa2Pd4, computed with PBE.

Computed properties:
Space-group type: Pnma (62)

a = 16.835 Å, b = 4.307 Å, c = 6.694 Å
α = 90.00°, β = 90.00°, γ = 90.00°
Sites, in units of the cell vectors:
Sm (0.139, 0.250, 0.079)
Sm (0.361, 0.750, 0.579)
Sm (0.639, 0.250, 0.421)
Sm (0.861, 0.750, 0.921)
Ga (0.062, 0.750, 0.737)
Ga (0.204, 0.250, 0.624)
Ga (0.296, 0.750, 0.124)
Ga (0.438, 0.250, 0.237)
Ga (0.562, 0.750, 0.763)
Ga (0.704, 0.250, 0.876)
Ga (0.796, 0.750, 0.376)
Ga (0.938, 0.250, 0.263)
Pd (0.022, 0.750, 0.139)
Pd (0.059, 0.250, 0.487)
Pd (0.171, 0.750, 0.399)
Pd (0.212, 0.750, 0.819)
Pd (0.288, 0.250, 0.319)
Pd (0.329, 0.250, 0.899)
Pd (0.441, 0.750, 0.987)
Pd (0.478, 0.250, 0.639)
Pd (0.522, 0.750, 0.361)
Pd (0.559, 0.250, 0.013)
Pd (0.671, 0.750, 0.101)
Pd (0.712, 0.750, 0.681)
Pd (0.788, 0.250, 0.181)
Pd (0.829, 0.250, 0.601)
Pd (0.941, 0.750, 0.513)
Pd (0.978, 0.250, 0.861)


## 2
An optimized crystal structure of SmGa2Pd4, computed with PBE.

Computed properties:
Space-group type: P4_2/mnm (136)

a = 7.873 Å, b = 7.873 Å, c = 3.984 Å
α = 90.00°, β = 90.00°, γ = 90.00°
Sites, in units of the cell vectors:
Sm (0.000, 0.000, 0.000)
Sm (0.500, 0.500, 0.500)
Ga (0.222, 0.222, 0.500)
Ga (0.278, 0.722, 0.000)
Ga (0.722, 0.278, 0.000)
Ga (0.778, 0.778, 0.500)
Pd (0.081, 0.668, 0.500)
Pd (0.168, 0.419, 0.000)
Pd (0.332, 0.919, 0.500)
Pd (0.419, 0.168, 0.000)
Pd (0.581, 0.832, 0.000)
Pd (0.668, 0.081, 0.500)
Pd (0.832, 0.581, 0.000)
Pd (0.919, 0.332, 0.500)


Relative to the most stable one, in meV per atom, the structures come out at 1 0; 2 14.


## 1
An optimized crystal structure of SmGaPd4, computed with PBE.

Computed properties:
Space-group type: Pmma (51)

a = 7.735 Å, b = 3.985 Å, c = 6.986 Å
α = 90.00°, β = 90.00°, γ = 90.00°
Sites, in units of the cell vectors:
Sm (0.250, 0.000, 0.147)
Sm (0.750, 0.000, 0.853)
Ga (0.250, 0.000, 0.717)
Ga (0.750, 0.000, 0.283)
Pd (0.000, 0.000, 0.500)
Pd (0.051, 0.500, 0.806)
Pd (0.250, 0.500, 0.454)
Pd (0.449, 0.500, 0.806)
Pd (0.500, 0.000, 0.500)
Pd (0.551, 0.500, 0.194)
Pd (0.750, 0.500, 0.546)
Pd (0.949, 0.500, 0.194)


## 2
An optimized crystal structure of SmGaPd4, computed with PBE.

Computed properties:
Space-group type: F-43m (216)

a = 5.360 Å, b = 5.360 Å, c = 5.360 Å
α = 60.00°, β = 60.00°, γ = 60.00°
Sites, in units of the cell vectors:
Sm (0.000, 0.000, 0.000)
Ga (0.750, 0.750, 0.750)
Pd (0.376, 0.376, 0.376)
Pd (0.376, 0.376, 0.873)
Pd (0.376, 0.873, 0.376)
Pd (0.873, 0.376, 0.376)


Relative to the most stable one, in meV per atom, the structures come out at 1 0; 2 101.